# TlBiPb (PBE-GGA, optimized geometry)
# formation enthalpy at 0 K = 0.09 eV per atom
# offset from the most stable computed form = 126 meV/atom
data_TlBiPb
_cell_length_a 3.310
_cell_length_b 3.310
_cell_length_c 18.505
_cell_angle_alpha 90.00
_cell_angle_beta 90.00
_cell_angle_gamma 90.00
_symmetry_space_group_name_H-M 'I 4 m m'
_symmetry_Int_Tables_number 107
_symmetry_space_group_name_Hall 'I 4 -2'
loop_
_atom_site_label
_atom_site_type_symbol
_atom_site_fract_x
_atom_site_fract_y
_atom_site_fract_z
Tl1 Tl 0.000 0.000 0.000
Bi1 Bi 0.000 0.000 0.821
Pb1 Pb 0.000 0.000 0.647